Computed, not measured: a relaxed MgSbAu crystal at the GGA-PBE level of DFT.

Output
formation energy (no corrections)	-5.137	kcal/mol of atoms
spin magnetization	0.0000	μB/atom
energy	-3.221	eV per atom
calculated volume	23.40	Å³/atom

The structure in CIF format:
```
data_MgSbAu
_cell_length_a 4.531
_cell_length_b 4.531
_cell_length_c 3.949
_cell_angle_alpha 90.00
_cell_angle_beta 90.00
_cell_angle_gamma 120.00
_space_group_name_H-M_alt 'P 1'
_space_group_IT_number 1
_space_group_name_Hall 'P 1'
loop_
_atom_site_label
_atom_site_type_symbol
_atom_site_fract_x
_atom_site_fract_y
_atom_site_fract_z
_atom_site_occupancy
Au1 Au 0.000 0.000 0.994 1
Sb1 Sb 0.333 0.667 0.750 1
Mg1 Mg 0.667 0.333 0.257 1
```

=====

Computed, not measured: a relaxed MgSbAu crystal at the GGA-PBE level of DFT.

Output
formation energy (no corrections)	-5.734	kcal/mol of atoms
spin magnetization	0.0000	μB/atom
energy	-3.247	eV per atom
calculated volume	23.75	Å³/atom

The structure in CIF format:
```
data_MgSbAu
_cell_length_a 4.399
_cell_length_b 4.433
_cell_length_c 8.786
_cell_angle_alpha 75.09
_cell_angle_beta 90.05
_cell_angle_gamma 119.50
_space_group_name_H-M_alt 'P 1'
_space_group_IT_number 1
_space_group_name_Hall 'P 1'
loop_
_atom_site_label
_atom_site_type_symbol
_atom_site_fract_x
_atom_site_fract_y
_atom_site_fract_z
_atom_site_occupancy
Mg1 Mg 0.359 0.079 0.831 1
Mg2 Mg 0.899 0.152 0.204 1
Sb1 Sb 0.129 0.615 0.517 1
Sb2 Sb 0.629 0.615 0.017 1
Au1 Au 0.743 0.844 0.678 1
Au2 Au 0.515 0.386 0.356 1
```